The following is a DFT calculation (PBE-GGA) of Rb3NaBe after structural relaxation.

Summary:
**M_tot**: 0.00 μB/cell
**Energy relative to the elements**: 0.543 eV per atom
**Energy relative to the lowest polymorph listed for this composition**: 0.0 kJ/mol of formula units
**Theoretical density**: 1.49 g/cm³
**Raw total energy**: -5.2 eV for the cell shown

Lattice parameters (Å, degrees): 6.844 6.844 6.844 90.00 90.00 90.00
Sites, in units of the cell vectors:
Na 0.500 0.500 0.500
Rb 0.000 0.000 0.500
Rb 0.000 0.500 0.000
Rb 0.500 0.000 0.000
Be 0.000 0.000 0.000